Compound: U2RhN
Source: Alexandria
Functional: PBE-GGA
Structure: optimized geometry

Results
**E**: -0.7376 Ry per atom

Cell and atoms, written as POSCAR:
```
U2RhN
1.0
3.080 0.000 0.000
-1.540 2.668 0.000
0.000 0.000 24.648
U Rh N
6 3 3
direct
0.000 0.000 0.104 U
0.000 0.000 0.896 U
0.333 0.667 0.563 U
0.333 0.667 0.770 U
0.667 0.333 0.230 U
0.667 0.333 0.437 U
0.000 0.000 0.000 Rh
0.333 0.667 0.667 Rh
0.667 0.333 0.333 Rh
0.000 0.000 0.500 N
0.333 0.667 0.167 N
0.667 0.333 0.833 N
```


Compound: URhN
Source: Alexandria
Functional: PBE-GGA
Structure: optimized geometry

Results
**E**: -0.7019 Ry per atom

Cell and atoms, written as POSCAR:
```
URhN
1.0
3.525 0.000 0.000
-1.762 3.053 0.000
0.000 0.000 4.482
U Rh N
1 1 1
direct
0.000 0.000 0.000 U
0.667 0.333 0.391 Rh
0.333 0.667 0.810 N
```


Compound: URhN
Source: Alexandria
Functional: PBE-GGA
Structure: optimized geometry

Results
**E**: -0.6681 Ry per atom

Cell and atoms, written as POSCAR:
```
URhN
1.0
3.980 0.000 0.000
0.000 3.980 0.000
0.000 0.000 6.422
U Rh N
2 2 2
direct
0.000 0.000 0.000 U
0.500 0.500 0.500 U
0.000 0.000 0.374 Rh
0.500 0.500 0.874 Rh
0.000 0.000 0.696 N
0.500 0.500 0.196 N
```


Compound: URhN
Source: Alexandria
Functional: PBE-GGA
Structure: optimized geometry

Results
**E**: -0.7098 Ry per atom

Cell and atoms, written as POSCAR:
```
URhN
1.0
6.003 0.000 0.000
0.000 3.379 0.000
0.000 0.000 9.237
U Rh N
4 4 4
direct
0.071 0.250 0.199 U
0.429 0.750 0.699 U
0.571 0.250 0.301 U
0.929 0.750 0.801 U
0.182 0.750 0.489 Rh
0.318 0.250 0.989 Rh
0.682 0.750 0.011 Rh
0.818 0.250 0.511 Rh
0.183 0.250 0.779 N
0.317 0.750 0.279 N
0.683 0.250 0.721 N
0.817 0.750 0.221 N
```


Compound: VRh3N
Source: Alexandria
Functional: PBE-GGA
Structure: optimized geometry

Results
**E**: -0.5669 Ry per atom
**Energy above the lowest structure with this stoichiometry**: 0 meV/atom

Cell and atoms, written as POSCAR:
```
VRh3N
1.0
4.060 0.000 0.000
0.000 4.060 0.000
0.000 0.000 4.060
V Rh N
1 3 1
direct
0.000 0.000 0.000 V
0.000 0.500 0.500 Rh
0.500 0.000 0.500 Rh
0.500 0.500 0.000 Rh
0.500 0.500 0.500 N
```


Compound: V7Rh2N2
Source: Alexandria
Functional: PBE-GGA
Structure: optimized geometry

Results
**E**: -0.6631 Ry per atom

Cell and atoms, written as POSCAR:
```
V7Rh2N2
1.0
4.415 -3.038 0.000
4.415 3.038 0.000
-0.520 0.000 5.272
V Rh N
7 2 2
direct
0.000 0.000 0.000 V
0.067 0.496 0.771 V
0.445 0.445 0.202 V
0.496 0.067 0.771 V
0.504 0.933 0.229 V
0.555 0.555 0.798 V
0.933 0.504 0.229 V
0.197 0.803 0.500 Rh
0.803 0.197 0.500 Rh
0.229 0.229 0.043 N
0.771 0.771 0.957 N
```


For the records above, the corresponding uncorrected formation energy values read -473; -561; -102; -669; 186; -369 meV per atom.
For the records above, the corresponding volume values read 16.88; 16.08; 16.95; 15.61; 13.38; 12.86 Å³ per atom.